A relaxed Cs2U3RuO12 crystal. Source: the Alexandria database, functional GGA-PBE.

## Properties
- Crystal system: trigonal
- Formation energy without anion corrections: -46.49 eV per formula unit
- Total energy: -150.8 eV/cell
- DOS at the Fermi energy: 6.37 states/eV/f.u.

Unit cell a=7.622 b=7.622 c=7.622 alpha=62.72 beta=62.72 gamma=62.72
Atoms (fractional coordinates):
Cs: 0.128 0.128 0.128
Cs: 0.872 0.872 0.872
U: 0.000 0.500 0.500
U: 0.500 0.000 0.500
U: 0.500 0.500 0.000
Ru: 0.500 0.500 0.500
O: 0.179 0.179 0.560
O: 0.179 0.560 0.179
O: 0.201 0.557 0.557
O: 0.440 0.821 0.821
O: 0.443 0.443 0.799
O: 0.443 0.799 0.443
O: 0.557 0.201 0.557
O: 0.557 0.557 0.201
O: 0.560 0.179 0.179
O: 0.799 0.443 0.443
O: 0.821 0.440 0.821
O: 0.821 0.821 0.440

A relaxed SrVIn2H crystal. Source: the Alexandria database, functional GGA-PBE.

## Properties
- Crystal system: tetragonal
- Total energy: -18.1 eV/cell
- DOS at the Fermi energy: 6.35 states/eV/f.u.

Unit cell a=5.455 b=5.455 c=3.509 alpha=90.00 beta=90.00 gamma=90.00
Atoms (fractional coordinates):
Sr: 0.000 0.000 0.000
V: 0.500 0.500 0.000
In: 0.000 0.500 0.500
In: 0.500 0.000 0.500
H: 0.500 0.500 0.500